(1)
DFT (GGA-PBE) results for an optimized crystal structure of TbSm2Co2B2As3.

Properties
The calculation puts the total energy at -63.0 eV per cell.

abc: 11.669 11.669 11.669
angles: 160.33 160.33 27.96
Element x y z (fractional)
1 Tb 0.000 0.000 0.000
2 As 0.500 0.500 0.000
3 As 0.875 0.875 0.000
4 As 0.125 0.125 0.000
5 B 0.219 0.219 0.000
6 B 0.781 0.781 0.000
7 Co 0.250 0.750 0.500
8 Co 0.750 0.250 0.500
9 Sm 0.643 0.643 0.000
10 Sm 0.357 0.357 0.000



(2)
DFT (GGA-PBE) results for an optimized crystal structure of Li2Sm5Sn7.

Properties
The calculation puts the total energy at -259.6 eV per cell.

abc: 6.234 13.666 17.258
angles: 90.00 90.00 90.00
Element x y z (fractional)
1 Sn 0.679 0.814 0.878
2 Sn 0.821 0.186 0.378
3 Sn 0.179 0.686 0.122
4 Sn 0.890 0.874 0.121
5 Sn 0.860 0.849 0.623
6 Sn 0.360 0.651 0.377
7 Sn 0.407 0.880 0.121
8 Sn 0.706 0.809 0.372
9 Sn 0.640 0.151 0.123
10 Sn 0.294 0.309 0.128
11 Sn 0.794 0.191 0.872
12 Sn 0.593 0.380 0.379
13 Sn 0.847 0.557 0.189
14 Sn 0.139 0.064 0.936
15 Sn 0.610 0.126 0.621
16 Sn 0.361 0.936 0.436
17 Sn 0.639 0.436 0.064
18 Sn 0.321 0.314 0.622
19 Sn 0.093 0.120 0.621
20 Sn 0.861 0.564 0.564
21 Sn 0.347 0.943 0.811
22 Sn 0.653 0.443 0.689
23 Sn 0.907 0.620 0.879
24 Sn 0.206 0.691 0.628
25 Sn 0.153 0.057 0.311
26 Sn 0.390 0.626 0.879
27 Sn 0.140 0.349 0.877
28 Sn 0.110 0.374 0.379
29 Sm 0.354 0.181 0.460
30 Sm 0.143 0.497 0.018
31 Sm 0.146 0.499 0.736
32 Sm 0.651 0.424 0.877
33 Sm 0.357 0.503 0.518
34 Sm 0.849 0.576 0.377
35 Sm 0.857 0.997 0.482
36 Sm 0.643 0.003 0.982
37 Sm 0.151 0.076 0.123
38 Sm 0.638 0.676 0.718
39 Sm 0.354 0.501 0.236
40 Sm 0.138 0.824 0.282
41 Sm 0.362 0.176 0.782
42 Sm 0.862 0.324 0.218
43 Sm 0.349 0.924 0.623
44 Sm 0.854 0.319 0.540
45 Sm 0.146 0.819 0.960
46 Sm 0.646 0.681 0.040
47 Sm 0.646 0.001 0.264
48 Sm 0.854 0.999 0.764
49 Li 0.890 0.269 0.728
50 Li 0.390 0.231 0.272
51 Li 0.610 0.731 0.228
52 Li 0.579 0.731 0.520
53 Li 0.921 0.269 0.020
54 Li 0.421 0.231 0.980
55 Li 0.079 0.769 0.480
56 Li 0.110 0.769 0.772



(3)
DFT (GGA-PBE) results for an optimized crystal structure of TbNiIr.

Properties
Its formation energy is -0.663 eV per atom.

abc: 5.213 5.213 5.213
angles: 121.70 117.72 90.54
Element x y z (fractional)
1 Ir 0.500 0.000 0.500
2 Ir 0.000 0.000 0.000
3 Tb 0.373 0.623 0.750
4 Tb 0.627 0.377 0.250
5 Ni 0.000 0.500 0.000
6 Ni 0.000 0.000 0.500



(4)
DFT (GGA-PBE) results for an optimized crystal structure of LiCd2Bi.

Properties
The calculation puts the total energy at -8.3 eV per cell.

abc: 5.087 5.087 5.087
angles: 60.00 60.00 60.00
Element x y z (fractional)
1 Cd 0.000 0.000 0.000
2 Cd 0.750 0.750 0.750
3 Bi 0.500 0.500 0.500
4 Li 0.250 0.250 0.250



(5)
DFT (GGA-PBE) results for an optimized crystal structure of Li4Tl2ZnHg.

Properties
The calculation puts the total energy at -15.8 eV per cell.

abc: 4.726 4.726 6.691
angles: 90.00 90.00 90.00
Element x y z (fractional)
1 Tl 0.500 0.000 0.731
2 Tl 0.000 0.500 0.269
3 Li 0.000 0.000 0.500
4 Li 0.500 0.500 0.000
5 Li 0.000 0.500 0.746
6 Li 0.500 0.000 0.254
7 Zn 0.500 0.500 0.500
8 Hg 0.000 0.000 0.000



(6)
DFT (GGA-PBE) results for an optimized crystal structure of ErPdPbS3.

Properties
The calculation puts the total energy at -63.9 eV per cell.

abc: 6.941 6.941 10.277
angles: 90.00 90.00 148.05
Element x y z (fractional)
1 Er 0.000 0.000 0.500
2 Er 0.000 0.000 0.000
3 S 0.079 0.921 0.250
4 S 0.359 0.641 0.054
5 S 0.921 0.079 0.750
6 S 0.641 0.359 0.554
7 S 0.641 0.359 0.946
8 S 0.359 0.641 0.446
9 Pb 0.769 0.231 0.250
10 Pb 0.231 0.769 0.750
11 Pd 0.531 0.469 0.750
12 Pd 0.469 0.531 0.250



(7)
DFT (GGA-PBE) results for an optimized crystal structure of Nb4AsPC2.

Properties
The calculation puts the total energy at -74.4 eV per cell.

abc: 3.322 3.322 11.873
angles: 90.00 90.00 120.00
Element x y z (fractional)
1 C 0.667 0.333 0.745
2 C 0.667 0.333 0.255
3 Nb 0.000 0.000 0.840
4 Nb 0.333 0.667 0.646
5 Nb 0.333 0.667 0.354
6 Nb 0.000 0.000 0.160
7 P 0.000 0.000 0.500
8 As 0.333 0.667 0.000



(8)
DFT (GGA-PBE) results for an optimized crystal structure of CsSrDyS3.

Properties
The calculation puts the total energy at -60.2 eV per cell.

abc: 8.258 8.258 12.058
angles: 90.00 90.00 147.94
Element x y z (fractional)
1 S 0.561 0.439 0.250
2 S 0.887 0.113 0.075
3 S 0.439 0.561 0.750
4 S 0.113 0.887 0.575
5 S 0.887 0.113 0.425
6 S 0.113 0.887 0.925
7 Sr 0.500 0.500 0.500
8 Sr 0.500 0.500 0.000
9 Cs 0.751 0.249 0.750
10 Cs 0.249 0.751 0.250
11 Dy 0.024 0.976 0.750
12 Dy 0.976 0.024 0.250